Entry 1:
9
Lattice="4.0622 0.0000 0.0000 -2.0311 3.5180 0.0000 0.0000 0.0000 16.6557" Properties=species:S:1:pos:R:3 comment="LaZnSe (PBE, optimized geometry)" polymorph_energy_ev_per_atom=0.316 e_tot_ev_per_atom=-4.083 magnetic_moment_mub_per_atom=0.047 pbc="T T T"
La 0.0000 0.0000 0.0000
La 0.0000 2.3453 11.1038
La 2.0311 1.1726 5.5519
Zn 0.0000 0.0000 3.4725
Zn 0.0000 2.3453 14.5763
Zn 2.0311 1.1726 9.0244
Se 0.0000 0.0000 13.1508
Se 0.0000 2.3453 7.5989
Se 2.0311 1.1726 2.0470

***

Entry 2:
5
Lattice="5.5431 0.0000 0.0000 0.0000 5.5431 0.0000 0.0000 0.0000 5.5431" Properties=species:S:1:pos:R:3 comment="SnBr3N (PBE, optimized geometry)" polymorph_energy_ev_per_atom=0.286 e_tot_ev_per_atom=-2.870 magnetic_moment_mub_per_atom=0.599 pbc="T T T"
Sn 0.0000 0.0000 0.0000
Br 0.0000 0.0000 2.7715
Br 0.0000 2.7715 0.0000
Br 2.7715 0.0000 0.0000
N 2.7715 2.7715 2.7715

***

Entry 3:
12
Lattice="9.3256 -2.1232 0.0000 9.3256 2.1232 0.0000 -1.9015 0.0000 8.3787" Properties=species:S:1:pos:R:3 comment="La6GaP2Cl3 (PBE, optimized geometry)" e_tot_ev_per_atom=-5.576 magnetic_moment_mub_per_atom=0.000 pbc="T T T"
La -0.3595 0.0000 2.1071
La 5.2935 0.0000 3.6039
La 4.5333 0.0000 7.5328
La 12.2164 0.0000 0.8459
La 11.4562 0.0000 4.7748
La 17.1093 0.0000 6.2716
Ga 9.3256 0.0000 0.0000
P 2.4981 0.0000 2.8118
P 14.2516 0.0000 5.5669
Cl 1.4949 0.0000 6.9706
Cl 8.3749 0.0000 4.1893
Cl 15.2548 0.0000 1.4081

***

Entry 4:
15
Lattice="4.7464 2.7403 6.3217 -4.7464 2.7403 6.3217 0.0000 -5.4806 6.3217" Properties=species:S:1:pos:R:3 comment="Pm8Tl6In (PBE, optimized geometry)" formation_enthalpy_0k_ev_per_atom=-0.207 e_tot_ev_per_atom=-3.870 magnetic_moment_mub_per_atom=0.000 pbc="T T T"
Pm -2.5261 0.0283 7.5101
Pm 0.0000 0.0000 3.5991
Pm -1.2876 -2.1735 11.4551
Pm 1.2385 -2.2018 7.5101
Pm -1.2385 2.2018 11.4551
Pm 1.2876 2.1735 7.5101
Pm 0.0000 0.0000 15.3661
Pm 2.5261 -0.0283 11.4551
Tl -1.6615 -3.1835 8.2637
Tl -3.5878 -0.1528 10.7015
Tl -1.9263 3.0307 8.2637
Tl 1.9263 -3.0307 10.7015
Tl 3.5878 0.1528 8.2637
Tl 1.6615 3.1835 10.7015
In 0.0000 0.0000 9.4826

***

Entry 5:
5
Lattice="5.4636 0.0000 0.0000 0.0000 5.4636 0.0000 0.0000 0.0000 5.9792" Properties=species:S:1:pos:R:3 comment="BaNaTl2Pt (PBE, optimized geometry)" polymorph_energy_ev_per_atom=0.157 formation_enthalpy_0k_ev_per_atom=-0.200 e_tot_ev_per_atom=-3.003 magnetic_moment_mub_per_atom=0.000 pbc="T T T"
Ba 0.0000 0.0000 0.0000
Na 2.7318 2.7318 0.0000
Tl 0.0000 2.7318 2.9896
Tl 2.7318 0.0000 2.9896
Pt 0.0000 0.0000 2.9896

***

Entry 6:
12
Lattice="9.6189 -2.1601 0.0000 9.6189 2.1601 0.0000 -2.2035 0.0000 8.5885" Properties=species:S:1:pos:R:3 comment="Pm6BiTe3P2 (PBE, optimized geometry)" e_tot_ev_per_atom=-5.825 magnetic_moment_mub_per_atom=0.000 pbc="T T T"
Pm -0.2485 0.0000 2.2324
Pm 5.2657 0.0000 3.7333
Pm 4.3669 0.0000 7.5618
Pm 12.6674 0.0000 1.0266
Pm 11.7686 0.0000 4.8552
Pm 17.2828 0.0000 6.3561
Bi 9.6189 0.0000 0.0000
Te 1.2503 0.0000 7.1558
Te 8.5171 0.0000 4.2942
Te 15.7840 0.0000 1.4327
P 2.5213 0.0000 2.9022
P 14.5130 0.0000 5.6863

***

Entry 7:
16
Lattice="7.0847 0.0000 0.0000 0.0000 7.0847 0.0000 0.0000 0.0000 7.0847" Properties=species:S:1:pos:R:3 comment="EuRhPbAu (PBE, optimized geometry)" formation_enthalpy_0k_ev_per_atom=-0.289 e_tot_ev_per_atom=-6.442 magnetic_moment_mub_per_atom=1.711 pbc="T T T"
Eu 0.0000 0.0000 0.0000
Eu 0.0000 3.5423 3.5423
Eu 3.5423 0.0000 3.5423
Eu 3.5423 3.5423 0.0000
Rh 1.7712 1.7712 1.7712
Rh 1.7712 5.3135 5.3135
Rh 5.3135 1.7712 5.3135
Rh 5.3135 5.3135 1.7712
Pb 0.0000 0.0000 3.5423
Pb 0.0000 3.5423 0.0000
Pb 3.5423 0.0000 0.0000
Pb 3.5423 3.5423 3.5423
Au 1.7712 1.7712 5.3135
Au 1.7712 5.3135 1.7712
Au 5.3135 1.7712 1.7712
Au 5.3135 5.3135 5.3135

***

Entry 8:
12
Lattice="2.5659 1.4814 8.0464 -2.5659 1.4814 8.0464 0.0000 -2.9628 8.0464" Properties=species:S:1:pos:R:3 comment="Tc2RuPbO8 (PBE, optimized geometry)" e_tot_ev_per_atom=-7.072 magnetic_moment_mub_per_atom=0.000 pbc="T T T"
Tc 0.0000 0.0000 5.9524
Tc 0.0000 0.0000 18.1867
Ru 0.0000 0.0000 12.0695
Pb 0.0000 0.0000 0.0000
O -0.8690 -1.2731 10.7136
O -0.6681 -1.3891 13.4255
O 0.0000 0.0000 7.7510
O -0.6681 1.3891 10.7135
O -0.8690 1.2731 13.4255
O 0.0000 0.0000 16.3880
O 1.5371 -0.1160 10.7135
O 1.5371 0.1160 13.4255

***

Entry 9:
5
Lattice="5.0011 0.0000 0.0000 0.0000 5.0011 0.0000 0.0000 0.0000 6.4861" Properties=species:S:1:pos:R:3 comment="As2BrNCl (PBE, optimized geometry)" polymorph_energy_ev_per_atom=0.899 e_tot_ev_per_atom=-2.359 magnetic_moment_mub_per_atom=1.094 pbc="T T T"
As 0.0000 2.5006 0.0000
As 2.5006 0.0000 0.0000
Br 0.0000 0.0000 3.2431
N 2.5006 2.5006 3.2431
Cl 0.0000 0.0000 0.0000

***

Entry 10:
5
Lattice="4.9839 0.0000 0.0000 0.0000 4.9839 0.0000 0.0000 0.0000 4.9839" Properties=species:S:1:pos:R:3 comment="Li3ReN (PBE, optimized geometry)" polymorph_energy_ev_per_atom=1.315 e_tot_ev_per_atom=-3.105 magnetic_moment_mub_per_atom=1.000 pbc="T T T"
Li 0.0000 0.0000 2.4919
Li 0.0000 2.4919 0.0000
Li 2.4919 0.0000 0.0000
Re 0.0000 0.0000 0.0000
N 2.4919 2.4919 2.4919

***

Entry 11:
3
Lattice="3.9901 0.0000 0.0000 0.0000 3.9901 0.0000 0.0000 0.0000 3.0487" Properties=species:S:1:pos:R:3 comment="Mn2W (PBE, optimized geometry)" polymorph_energy_ev_per_atom=0.908 formation_enthalpy_0k_ev_per_atom=0.825 e_tot_ev_per_atom=-9.605 magnetic_moment_mub_per_atom=1.247 pbc="T T T"
Mn 0.0000 1.9951 0.0000
Mn 1.9951 0.0000 0.0000
W 0.0000 0.0000 1.5244

***

Entry 12:
14
Lattice="8.5551 0.0000 0.0000 -2.5813 8.4072 0.0000 -0.4652 -4.1254 7.7654" Properties=species:S:1:pos:R:3 comment="CuIBr5 (PBE, optimized geometry)" e_tot_ev_per_atom=-2.101 magnetic_moment_mub_per_atom=0.002 pbc="T T T"
Cu 0.0000 0.0000 0.0000
Cu -1.5232 2.1409 3.8827
I 1.5211 -0.8198 3.8593
I 3.9875 5.1016 3.9061
Br -1.8122 2.7558 6.2579
Br -0.3065 5.1788 3.1427
Br 1.1086 -1.4808 6.3555
Br 0.7872 1.8612 4.4749
Br 2.0558 0.1071 1.2172
Br 3.4529 4.1747 6.5482
Br 4.7214 2.4206 3.2906
Br 4.4000 5.7626 1.4099
Br 5.8151 -0.8970 4.6228
Br 7.3208 1.5260 1.5075

***

Entry 13:
16
Lattice="7.9260 0.0000 0.0000 0.0000 7.9260 0.0000 0.0000 0.0000 6.9915" Properties=species:S:1:pos:R:3 comment="KTlS2 (PBE, optimized geometry)" polymorph_energy_ev_per_atom=0.024 e_tot_ev_per_atom=-3.536 magnetic_moment_mub_per_atom=0.000 pbc="T T T"
K 0.0000 0.0000 1.7479
K 0.0000 0.0000 5.2436
K 3.9630 3.9630 1.7479
K 3.9630 3.9630 5.2436
Tl 0.0000 3.9630 1.7479
Tl 0.0000 3.9630 5.2436
Tl 3.9630 0.0000 1.7479
Tl 3.9630 0.0000 5.2436
S 1.3560 2.6070 0.0000
S 1.3560 5.3189 3.4957
S 2.6070 1.3560 3.4957
S 2.6070 6.5700 0.0000
S 5.3189 1.3560 0.0000
S 5.3189 6.5700 3.4957
S 6.5700 2.6070 3.4957
S 6.5700 5.3189 0.0000

***

Entry 14:
12
Lattice="6.6599 -4.3642 0.0000 6.6599 4.3642 0.0000 0.0000 0.0000 5.4877" Properties=species:S:1:pos:R:3 comment="Ac2CeIr3 (PBE, optimized geometry)" formation_enthalpy_0k_ev_per_atom=-0.613 e_tot_ev_per_atom=-7.402 magnetic_moment_mub_per_atom=0.000 pbc="T T T"
Ac 4.5802 2.8877 4.1158
Ac 8.7395 2.8877 4.1158
Ac 4.5802 -2.8877 1.3719
Ac 8.7395 -2.8877 1.3719
Ce 6.6599 1.1528 1.3719
Ce 6.6599 -1.1528 4.1158
Ir 6.6599 3.7317 1.3719
Ir 4.4927 0.0000 0.0000
Ir 4.4927 0.0000 2.7439
Ir 8.8270 0.0000 0.0000
Ir 8.8270 0.0000 2.7439
Ir 6.6599 -3.7317 4.1158

***

Entry 15:
16
Lattice="0.0000 7.7179 13.9221 3.3970 0.0000 13.9221 3.3970 7.7179 0.0000" Properties=species:S:1:pos:R:3 comment="Cs2MgGeTe4 (PBE, optimized geometry)" e_tot_ev_per_atom=-3.282 magnetic_moment_mub_per_atom=0.000 pbc="T T T"
Cs 2.5478 5.7884 1.6093
Cs 4.2463 9.6474 8.5704
Cs 2.5478 5.7884 19.2739
Cs 4.2463 9.6474 26.2350
Mg 0.8493 1.9295 3.4805
Mg 5.9448 13.5064 24.3638
Ge 2.5478 5.7884 10.4416
Ge 4.2463 9.6474 17.4027
Te 2.7004 3.4402 4.9649
Te 4.0936 7.2992 11.9259
Te 2.3951 8.1367 4.9649
Te 2.3951 3.4402 15.9184
Te 4.3989 11.9956 11.9259
Te 4.3989 7.2992 22.8794
Te 2.7004 8.1367 15.9184
Te 4.0936 11.9956 22.8794

***

Entry 16:
4
Lattice="3.5988 0.0000 0.0000 0.0000 3.5988 0.0000 0.0000 0.0000 9.3272" Properties=species:S:1:pos:R:3 comment="YTl2Pb (PBE, optimized geometry)" formation_enthalpy_0k_ev_per_atom=-0.138 e_tot_ev_per_atom=-3.864 magnetic_moment_mub_per_atom=0.000 pbc="T T T"
Y 0.0000 0.0000 0.0000
Tl 0.0000 0.0000 4.7244
Tl 1.7994 1.7994 7.2185
Pb 1.7994 1.7994 2.1660

***

Entry 17:
12
Lattice="5.4714 0.0000 0.0000 0.0000 6.9695 0.0000 0.0000 0.0000 10.6225" Properties=species:S:1:pos:R:3 comment="AcBi4Pb (PBE, optimized geometry)" polymorph_energy_ev_per_atom=0.000 formation_enthalpy_0k_ev_per_atom=-0.268 e_tot_ev_per_atom=-4.158 magnetic_moment_mub_per_atom=0.000 pbc="T T T"
Ac 0.0000 0.0000 0.0000
Ac 2.7357 3.4848 5.3112
Bi 0.0000 1.6192 3.6155
Bi 0.0000 1.6192 7.0070
Bi 0.0000 5.3504 3.6155
Bi 0.0000 5.3504 7.0070
Bi 2.7357 1.8656 1.6958
Bi 2.7357 1.8656 8.9267
Bi 2.7357 5.1039 1.6958
Bi 2.7357 5.1039 8.9267
Pb 0.0000 3.4848 0.0000
Pb 2.7357 0.0000 5.3112

***

Entry 18:
4
Lattice="5.2220 0.0000 0.0000 0.0000 5.2220 0.0000 0.0000 0.0000 5.3686" Properties=species:S:1:pos:R:3 comment="SrEu2Bi (PBE, optimized geometry)" polymorph_energy_ev_per_atom=0.000 formation_enthalpy_0k_ev_per_atom=-0.449 e_tot_ev_per_atom=-6.977 magnetic_moment_mub_per_atom=3.662 pbc="T T T"
Sr 0.0000 0.0000 0.0000
Eu 0.0000 2.6110 2.6843
Eu 2.6110 0.0000 2.6843
Bi 2.6110 2.6110 0.0000

***

Entry 19:
14
Lattice="8.7246 0.0000 0.0000 -2.8493 8.7594 0.0000 -2.9183 -3.7405 7.9718" Properties=species:S:1:pos:R:3 comment="Ba4Tl2Br (PBE, optimized geometry)" polymorph_energy_ev_per_atom=0.000 e_tot_ev_per_atom=-2.682 magnetic_moment_mub_per_atom=0.000 pbc="T T T"
Ba 0.0000 0.0000 0.0000
Ba -1.5114 4.5501 0.2935
Ba -2.6441 5.8856 4.2013
Ba -1.3448 3.2132 7.2151
Ba 1.4688 0.7851 5.0770
Ba 2.8483 2.8417 1.3772
Ba 1.7091 5.7654 4.2820
Ba 5.9081 0.8362 3.1129
Tl -1.8332 -0.5645 6.2320
Tl 2.5880 -0.8984 2.1623
Tl 2.5228 -2.1378 7.2342
Tl 4.0865 3.0910 5.2021
Br -0.3458 3.2084 3.3236
Br 4.0298 6.1586 1.4938

***

Entry 20:
10
Lattice="3.5071 2.0248 6.1946 -3.5071 2.0248 6.1946 0.0000 -4.0496 6.1946" Properties=species:S:1:pos:R:3 comment="MnCr2GeTe6 (PBE, optimized geometry)" e_tot_ev_per_atom=-5.315 magnetic_moment_mub_per_atom=0.913 pbc="T T T"
Mn 0.0000 0.0000 0.0000
Cr 0.0000 0.0000 5.7954
Cr 0.0000 0.0000 14.9969
Ge 0.0000 0.0000 9.4088
Te -2.2310 -0.0135 7.4690
Te -1.3986 -2.1530 10.6384
Te 1.1272 -1.9254 7.4690
Te -1.1653 2.2878 10.6384
Te 1.1038 1.9389 7.4690
Te 2.5639 -0.1347 10.6384

***

Entry 21:
20
Lattice="8.0598 0.0000 0.0000 0.0000 7.7388 0.0000 -3.2575 0.0000 6.7723" Properties=species:S:1:pos:R:3 comment="Hf3AlSb (PBE, optimized geometry)" polymorph_energy_ev_per_atom=0.000 e_tot_ev_per_atom=-7.840 magnetic_moment_mub_per_atom=0.000 pbc="T T T"
Hf -0.6414 0.1205 2.1905
Hf -2.2701 3.7489 5.5767
Hf 1.8344 0.9355 0.6555
Hf 0.2056 2.9339 4.0417
Hf 0.2837 5.3471 6.4416
Hf 1.9124 6.2611 3.0555
Hf 2.8899 1.4777 3.7168
Hf 4.5186 2.3917 0.3306
Hf 4.5967 4.8049 2.7306
Hf 2.9679 6.8033 6.1167
Hf 7.0724 3.9899 1.1956
Hf 5.4437 7.6184 4.5817
Al -0.8717 5.4736 3.7206
Al 0.7570 6.1346 0.3345
Al 4.0453 1.6042 6.4378
Al 5.6740 2.2652 3.0517
Sb 0.4035 0.2210 5.0409
Sb 2.0323 3.6484 1.6548
Sb 2.7700 4.0904 5.1175
Sb 4.3988 7.5178 1.7313

***

Entry 22:
6
Lattice="3.4194 0.0000 0.0000 0.0000 3.4194 0.0000 0.0000 0.0000 9.5880" Properties=species:S:1:pos:R:3 comment="ScReHg (PBE, optimized geometry)" polymorph_energy_ev_per_atom=0.058 formation_enthalpy_0k_ev_per_atom=0.310 e_tot_ev_per_atom=-6.051 magnetic_moment_mub_per_atom=0.153 pbc="T T T"
Sc 0.0000 0.0000 0.0000
Sc 1.7097 1.7097 4.7940
Re 0.0000 0.0000 6.2507
Re 1.7097 1.7097 1.4567
Hg 0.0000 0.0000 3.0321
Hg 1.7097 1.7097 7.8261

***

Entry 23:
10
Lattice="7.7861 0.0000 0.0000 0.0000 7.7861 0.0000 0.0000 0.0000 4.3958" Properties=species:S:1:pos:R:3 comment="Y2SiSb2 (PBE, optimized geometry)" polymorph_energy_ev_per_atom=0.000 e_tot_ev_per_atom=-5.849 magnetic_moment_mub_per_atom=0.000 pbc="T T T"
Y 1.2686 2.6245 0.0000
Y 2.6245 6.5175 0.0000
Y 5.1616 1.2686 0.0000
Y 6.5175 5.1616 0.0000
Si 0.0000 0.0000 0.0000
Si 3.8930 3.8930 0.0000
Sb 1.1692 5.0623 2.1979
Sb 2.7238 1.1692 2.1979
Sb 5.0623 6.6169 2.1979
Sb 6.6169 2.7238 2.1979

***

Entry 24:
16
Lattice="6.9606 0.0000 0.0000 0.0000 6.9606 0.0000 0.0000 0.0000 6.9606" Properties=species:S:1:pos:R:3 comment="LaSc2Ni (PBE, optimized geometry)" polymorph_energy_ev_per_atom=0.344 formation_enthalpy_0k_ev_per_atom=0.142 e_tot_ev_per_atom=-5.701 magnetic_moment_mub_per_atom=0.000 pbc="T T T"
La 0.0000 0.0000 0.0000
La 0.0000 3.4803 3.4803
La 3.4803 0.0000 3.4803
La 3.4803 3.4803 0.0000
Sc 1.7401 1.7401 1.7401
Sc 1.7401 1.7401 5.2204
Sc 1.7401 5.2204 1.7401
Sc 1.7401 5.2204 5.2204
Sc 5.2204 1.7401 1.7401
Sc 5.2204 1.7401 5.2204
Sc 5.2204 5.2204 1.7401
Sc 5.2204 5.2204 5.2204
Ni 0.0000 0.0000 3.4803
Ni 0.0000 3.4803 0.0000
Ni 3.4803 0.0000 0.0000
Ni 3.4803 3.4803 3.4803